Density functional theory data (PBE) for an optimized crystal structure of K2RbAg2.

a = 4.962 Å, b = 6.894 Å, c = 7.120 Å
α = 101.05°, β = 110.39°, γ = 90.00°
Fractional positions:
1 Ag 0.731 0.092 0.462
2 Ag 0.269 0.908 0.538
3 K 0.345 0.415 0.691
4 K 0.655 0.585 0.309
5 Rb 0.000 0.000 0.000

For the density of states at the Fermi level, the calculation gives 2.73 states/eV/f.u. The excess energy over the best structure of this formula in the dataset is 0 meV per atom. The calculation puts the density at 2.82 g/cm3. The calculation puts the magnetization at 0.0 μB per cell.